Record 1
{
  "formula": "Tb12Y7Ho",
  "functional": "GGA-PBE",
  "state": "relaxed",
  "relative_energy_mev_per_atom": 0,
  "volume_a3_per_atom": 32.73,
  "lattice_angstrom": [[6.4204, 3.7068, 4.5845], [-6.4204, 3.7068, 4.5845], [0.0000, -7.4137, 4.5845]],
  "species": ["Tb", "Tb", "Tb", "Tb", "Tb", "Tb", "Tb", "Tb", "Tb", "Tb", "Tb", "Tb", "Y", "Y", "Y", "Y", "Y", "Y", "Y", "Ho"],
  "fractional_positions": [[0.1456, 0.4771, 0.4133], [0.1880, 0.3180, 0.7494], [0.2506, 0.8120, 0.6820], [0.3180, 0.7494, 0.1880], [0.4133, 0.1456, 0.4771], [0.4771, 0.4133, 0.1456], [0.5229, 0.5867, 0.8544], [0.5867, 0.8544, 0.5229], [0.6820, 0.2506, 0.8120], [0.7494, 0.1880, 0.3180], [0.8120, 0.6820, 0.2506], [0.8544, 0.5229, 0.5867], [0.0164, 0.3492, 0.0815], [0.0815, 0.0164, 0.3492], [0.3492, 0.0815, 0.0164], [0.5000, 0.5000, 0.5000], [0.6508, 0.9185, 0.9836], [0.9185, 0.9836, 0.6508], [0.9836, 0.6508, 0.9185], [0.0000, 0.0000, 0.0000]]
}

Record 2
{
  "formula": "Li7La3Hf2O12",
  "functional": "GGA-PBE",
  "state": "relaxed",
  "volume_a3_per_atom": 11.43,
  "energy_ev_per_atom": -7.318,
  "lattice_angstrom": [[-6.5962, 6.5962, 6.3024], [6.5962, -6.5962, 6.3024], [6.5962, 6.5962, -6.3024]],
  "species": ["Li", "Li", "Li", "Li", "Li", "Li", "Li", "Li", "Li", "Li", "Li", "Li", "Li", "Li", "Li", "Li", "Li", "Li", "Li", "Li", "Li", "Li", "Li", "Li", "Li", "Li", "Li", "Li", "La", "La", "La", "La", "La", "La", "La", "La", "La", "La", "La", "La", "Hf", "Hf", "Hf", "Hf", "Hf", "Hf", "Hf", "Hf", "O", "O", "O", "O", "O", "O", "O", "O", "O", "O", "O", "O", "O", "O", "O", "O", "O", "O", "O", "O", "O", "O", "O", "O", "O", "O", "O", "O", "O", "O", "O", "O", "O", "O", "O", "O", "O", "O", "O", "O", "O", "O", "O", "O", "O", "O", "O", "O"],
  "fractional_positions": [[0.0544, 0.8044, 0.6087], [0.1063, 0.2741, 0.9931], [0.1132, 0.1063, 0.3322], [0.1250, 0.8750, 0.2500], [0.1956, 0.3044, 0.2500], [0.2190, 0.8868, 0.4931], [0.2259, 0.3937, 0.5069], [0.2741, 0.7810, 0.1678], [0.2810, 0.7741, 0.6678], [0.3044, 0.5544, 0.1087], [0.3750, 0.6250, 0.7500], [0.3868, 0.7190, 0.9931], [0.3937, 0.3868, 0.1678], [0.4456, 0.0544, 0.7500], [0.5544, 0.9456, 0.2500], [0.6063, 0.6132, 0.8322], [0.6132, 0.2810, 0.0069], [0.6250, 0.3750, 0.2500], [0.6956, 0.4456, 0.8913], [0.7190, 0.2259, 0.3322], [0.7259, 0.2190, 0.8322], [0.7741, 0.6063, 0.4931], [0.7810, 0.1132, 0.5069], [0.8044, 0.6956, 0.7500], [0.8750, 0.1250, 0.7500], [0.8868, 0.8937, 0.6678], [0.8937, 0.7259, 0.0069], [0.9456, 0.1956, 0.3913], [0.1218, 0.7500, 0.8718], [0.1250, 0.3750, 0.7500], [0.2500, 0.1218, 0.8718], [0.2500, 0.6218, 0.3718], [0.3750, 0.1250, 0.2500], [0.3782, 0.2500, 0.6282], [0.6218, 0.7500, 0.3718], [0.6250, 0.8750, 0.7500], [0.7500, 0.3782, 0.6282], [0.7500, 0.8782, 0.1282], [0.8750, 0.6250, 0.2500], [0.8782, 0.2500, 0.1282], [0.0000, 0.0000, 0.0000], [0.0000, 0.0000, 0.5000], [0.0000, 0.5000, 0.0000], [0.0000, 0.5000, 0.5000], [0.5000, 0.0000, 0.0000], [0.5000, 0.0000, 0.5000], [0.5000, 0.5000, 0.0000], [0.5000, 0.5000, 0.5000], [0.0184, 0.1112, 0.6991], [0.0253, 0.9031, 0.8238], [0.0793, 0.4031, 0.3777], [0.0879, 0.6807, 0.1991], [0.0969, 0.4207, 0.1223], [0.0979, 0.6865, 0.4789], [0.1112, 0.9121, 0.0928], [0.1191, 0.2077, 0.5211], [0.1807, 0.5879, 0.6991], [0.1865, 0.5979, 0.9789], [0.2015, 0.0253, 0.6223], [0.2077, 0.1865, 0.0886], [0.2923, 0.3809, 0.9789], [0.2985, 0.9207, 0.8238], [0.3135, 0.2923, 0.4114], [0.3193, 0.0184, 0.4072], [0.3809, 0.9021, 0.0886], [0.3888, 0.4816, 0.8009], [0.4021, 0.8809, 0.5886], [0.4031, 0.5253, 0.3238], [0.4121, 0.6112, 0.5928], [0.4207, 0.7985, 0.3238], [0.4747, 0.2985, 0.8777], [0.4816, 0.1807, 0.0928], [0.5184, 0.8193, 0.9072], [0.5253, 0.7015, 0.1223], [0.5793, 0.2015, 0.6762], [0.5879, 0.3888, 0.4072], [0.5969, 0.4747, 0.6762], [0.5979, 0.1191, 0.4114], [0.6112, 0.5184, 0.1991], [0.6191, 0.0979, 0.9114], [0.6807, 0.9816, 0.5928], [0.6865, 0.7077, 0.5886], [0.7015, 0.0793, 0.1762], [0.7077, 0.6191, 0.0211], [0.7923, 0.8135, 0.9114], [0.7985, 0.9747, 0.3777], [0.8135, 0.4021, 0.0211], [0.8193, 0.4121, 0.3009], [0.8809, 0.7923, 0.4789], [0.8888, 0.0879, 0.9072], [0.9021, 0.3135, 0.5211], [0.9031, 0.5793, 0.8777], [0.9121, 0.3193, 0.8009], [0.9207, 0.5969, 0.6223], [0.9747, 0.0969, 0.1762], [0.9816, 0.8888, 0.3009]]
}

Record 3
{
  "formula": "Na2TmTeS4",
  "functional": "GGA-PBE",
  "state": "relaxed",
  "volume_a3_per_atom": 23.54,
  "energy_ev_per_atom": -4.429,
  "lattice_angstrom": [[5.5899, -5.5520, 0.0000], [5.5899, 5.5520, 0.0000], [-5.0608, 0.0000, 6.0670]],
  "species": ["Na", "Na", "Na", "Na", "Tm", "Tm", "Te", "Te", "S", "S", "S", "S", "S", "S", "S", "S"],
  "fractional_positions": [[0.0000, 0.0000, 0.0000], [0.0000, 0.0000, 0.5000], [0.0000, 0.5000, 0.0000], [0.5000, 0.0000, 0.5000], [0.5000, 0.5000, 0.0000], [0.5000, 0.5000, 0.5000], [0.0000, 0.5000, 0.5000], [0.5000, 0.0000, 0.0000], [0.2294, 0.7155, 0.4757], [0.2701, 0.2879, 0.5471], [0.2845, 0.7706, 0.0243], [0.2879, 0.2701, 0.0471], [0.7121, 0.7299, 0.9529], [0.7155, 0.2294, 0.9757], [0.7299, 0.7121, 0.4529], [0.7706, 0.2845, 0.5243]]
}

Record 4
{
  "formula": "Tb3Pm5Ho4",
  "functional": "GGA-PBE",
  "state": "relaxed",
  "relative_energy_mev_per_atom": 213,
  "volume_a3_per_atom": 33.41,
  "lattice_angstrom": [[4.8813, -2.9032, 0.0000], [4.8813, 2.9032, 0.0000], [-4.8367, 0.0000, 14.1458]],
  "species": ["Tb", "Tb", "Tb", "Pm", "Pm", "Pm", "Pm", "Pm", "Ho", "Ho", "Ho", "Ho"],
  "fractional_positions": [[0.0000, 0.0000, 0.0000], [0.2940, 0.2940, 0.7508], [0.7060, 0.7060, 0.2492], [0.0461, 0.0461, 0.2473], [0.1678, 0.1678, 0.4992], [0.5000, 0.5000, 0.0000], [0.8322, 0.8322, 0.5008], [0.9539, 0.9539, 0.7527], [0.3234, 0.3234, 0.1438], [0.4388, 0.4388, 0.3761], [0.5612, 0.5612, 0.6239], [0.6766, 0.6766, 0.8562]]
}

Record 5
{
  "formula": "MnSn2HgGe",
  "functional": "GGA-PBE",
  "state": "relaxed",
  "relative_energy_mev_per_atom": 799,
  "volume_a3_per_atom": 31.31,
  "lattice_angstrom": [[5.5286, 0.0000, 0.0000], [0.0000, 5.5286, 0.0000], [0.0000, 0.0000, 5.1213]],
  "species": ["Mn", "Sn", "Sn", "Hg", "Ge"],
  "fractional_positions": [[0.0000, 0.0000, 0.0000], [0.0000, 0.5000, 0.5000], [0.5000, 0.0000, 0.5000], [0.0000, 0.0000, 0.5000], [0.5000, 0.5000, 0.0000]]
}

Record 6
{
  "formula": "HfMg3Pt2",
  "functional": "GGA-PBE",
  "state": "relaxed",
  "volume_a3_per_atom": 18.74,
  "energy_ev_per_atom": -5.214,
  "lattice_angstrom": [[4.2588, 0.0000, 0.0000], [0.0000, 8.2107, 0.0000], [0.0000, 0.0000, 6.4302]],
  "species": ["Hf", "Hf", "Mg", "Mg", "Mg", "Mg", "Mg", "Mg", "Pt", "Pt", "Pt", "Pt"],
  "fractional_positions": [[0.0000, 0.0769, 0.0000], [0.0000, 0.9231, 0.5000], [0.0000, 0.3110, 0.6115], [0.0000, 0.6890, 0.1115], [0.5000, 0.2073, 0.3245], [0.5000, 0.4165, 0.9223], [0.5000, 0.5835, 0.4223], [0.5000, 0.7927, 0.8245], [0.0000, 0.3678, 0.1951], [0.0000, 0.6322, 0.6951], [0.5000, 0.1029, 0.7219], [0.5000, 0.8971, 0.2219]]
}

Record 7
{
  "formula": "Ac2BeSb",
  "functional": "GGA-PBE",
  "state": "relaxed",
  "relative_energy_mev_per_atom": 0,
  "volume_a3_per_atom": 31.03,
  "lattice_angstrom": [[5.4585, 0.0000, 0.0000], [0.0000, 5.4585, 0.0000], [0.0000, 0.0000, 4.1657]],
  "species": ["Ac", "Ac", "Be", "Sb"],
  "fractional_positions": [[0.0000, 0.5000, 0.0000], [0.5000, 0.0000, 0.0000], [0.0000, 0.0000, 0.5000], [0.5000, 0.5000, 0.5000]]
}

Record 8
{
  "formula": "In2TcIr",
  "functional": "GGA-PBE",
  "state": "relaxed",
  "relative_energy_mev_per_atom": 292,
  "volume_a3_per_atom": 17.70,
  "lattice_angstrom": [[-2.0217, 2.0217, 4.3303], [2.0217, -2.0217, 4.3303], [2.0217, 2.0217, -4.3303]],
  "species": ["In", "In", "Tc", "Ir"],
  "fractional_positions": [[0.0000, 0.0000, 0.0000], [0.7500, 0.2500, 0.5000], [0.5000, 0.5000, 0.0000], [0.2500, 0.7500, 0.5000]]
}

Record 9
{
  "formula": "YBr2",
  "functional": "GGA-PBE",
  "state": "relaxed",
  "volume_a3_per_atom": 33.20,
  "energy_ev_per_atom": -4.936,
  "lattice_angstrom": [[1.9358, -3.3524, 0.0000], [1.9358, 3.3524, 0.0000], [0.0000, 0.0000, 30.6942]],
  "species": ["Y", "Y", "Y", "Y", "Br", "Br", "Br", "Br", "Br", "Br", "Br", "Br"],
  "fractional_positions": [[0.2419, 0.2439, 0.1236], [0.2439, 0.2419, 0.8764], [0.7561, 0.7581, 0.3764], [0.7581, 0.7561, 0.6236], [0.0892, 0.4246, 0.3156], [0.0897, 0.4248, 0.4372], [0.4246, 0.0892, 0.6844], [0.4248, 0.0897, 0.5628], [0.5752, 0.9103, 0.0628], [0.5754, 0.9108, 0.1844], [0.9103, 0.5752, 0.9372], [0.9108, 0.5754, 0.8156]]
}

Record 10
{
  "formula": "Ac2PuBe3Au12",
  "functional": "GGA-PBE",
  "state": "relaxed",
  "volume_a3_per_atom": 22.66,
  "energy_ev_per_atom": -4.287,
  "lattice_angstrom": [[4.1887, 2.4183, 6.7125], [-4.1887, 2.4183, 6.7125], [0.0000, -4.8366, 6.7125]],
  "species": ["Ac", "Ac", "Pu", "Be", "Be", "Be", "Au", "Au", "Au", "Au", "Au", "Au", "Au", "Au", "Au", "Au", "Au", "Au"],
  "fractional_positions": [[0.0975, 0.0975, 0.0975], [0.9025, 0.9025, 0.9025], [0.5000, 0.5000, 0.5000], [0.0000, 0.5000, 0.5000], [0.5000, 0.0000, 0.5000], [0.5000, 0.5000, 0.0000], [0.0650, 0.6432, 0.6432], [0.1834, 0.1834, 0.6073], [0.1834, 0.6073, 0.1834], [0.3568, 0.3568, 0.9350], [0.3568, 0.9350, 0.3568], [0.3927, 0.8166, 0.8166], [0.6073, 0.1834, 0.1834], [0.6432, 0.0650, 0.6432], [0.6432, 0.6432, 0.0650], [0.8166, 0.3927, 0.8166], [0.8166, 0.8166, 0.3927], [0.9350, 0.3568, 0.3568]]
}

Record 11
{
  "formula": "Sm2PbAu6",
  "functional": "GGA-PBE",
  "state": "relaxed",
  "volume_a3_per_atom": 22.95,
  "energy_ev_per_atom": -4.163,
  "lattice_angstrom": [[5.7593, -3.3244, 0.0000], [5.7593, 3.3244, 0.0000], [-0.0024, 0.0000, 5.3935]],
  "species": ["Sm", "Sm", "Pb", "Au", "Au", "Au", "Au", "Au", "Au"],
  "fractional_positions": [[0.1666, 0.1666, 0.3294], [0.8334, 0.8334, 0.6706], [0.5000, 0.5000, 0.5000], [0.1172, 0.6914, 0.1683], [0.3083, 0.3083, 0.8294], [0.3086, 0.8828, 0.8317], [0.6914, 0.1172, 0.1683], [0.6917, 0.6917, 0.1706], [0.8828, 0.3086, 0.8317]]
}

Record 12
{
  "formula": "BaTbCrN4",
  "functional": "GGA-PBE",
  "state": "relaxed",
  "volume_a3_per_atom": 16.86,
  "energy_ev_per_atom": -7.838,
  "lattice_angstrom": [[5.7804, 0.0000, 0.0000], [0.0000, 5.7309, 0.0000], [-2.1690, 0.0000, 7.1238]],
  "species": ["Ba", "Ba", "Tb", "Tb", "Cr", "Cr", "N", "N", "N", "N", "N", "N", "N", "N"],
  "fractional_positions": [[0.2156, 0.2500, 0.4244], [0.7844, 0.7500, 0.5756], [0.2866, 0.2500, 0.9494], [0.7134, 0.7500, 0.0506], [0.2602, 0.7500, 0.1712], [0.7398, 0.2500, 0.8288], [0.0722, 0.7500, 0.9456], [0.0727, 0.7500, 0.3186], [0.4545, 0.5121, 0.1985], [0.4545, 0.9879, 0.1985], [0.5455, 0.0121, 0.8015], [0.5455, 0.4879, 0.8015], [0.9273, 0.2500, 0.6814], [0.9278, 0.2500, 0.0544]]
}